This record from Alexandria via LeMat-Bulk describes a relaxed structure of Pa2VGa. The functional is PBE.

The structure in POSCAR format:
```
Pa2VGa
1.0
-2.742 -3.229 1.007
-0.732 -0.685 -4.192
3.267 -2.810 -0.111
Ga V Pa
1 1 2
Cartesian
-1.371 -1.614 0.503
-0.104 -3.362 -1.649
1.634 -1.405 -0.056
-0.366 -0.343 -2.096
```

Values from the calculation:
The energy of formation is -0.0660 eV per atom. The total magnetization is 1.3 μB/f.u. The polymorph energy (0 for the lowest one) is 0.000 eV per formula unit. As for the space group: P4/mmm, No. 123.